(1)
CsCa2Cl2 | GGA-PBE | relaxed

Cell and atoms, written as POSCAR:
```
CsCa2Cl2
1.0
5.334 0.000 0.000
0.000 5.334 0.000
2.667 2.667 6.547
Cs Ca Cl
1 2 2
Direct
0.000 0.000 0.000
0.357 0.357 0.287
0.643 0.643 0.713
0.750 0.250 0.500
0.250 0.750 0.500
```

Total moment   0.0000 μB per atom
V   186 Å³/cell
Space group   I4/mmm, No. 139
Formation energy (no corrections)   -1186.7 meV per atom
DOS at the Fermi energy   4.8 states/eV/cell
E   -2.90 eV per atom

(2)
Cs3CaCu2Cl6 | GGA-PBE | relaxed

Cell and atoms, written as POSCAR:
```
Cs3CaCu2Cl6
1.0
7.611 0.000 0.000
-3.805 6.591 0.000
0.000 0.000 9.010
Cs Ca Cu Cl
3 1 2 6
Direct
0.333 0.667 0.678
0.667 0.333 0.322
0.000 0.000 0.000
0.000 0.000 0.500
0.667 0.333 0.746
0.333 0.667 0.254
0.671 0.836 0.313
0.164 0.329 0.313
0.164 0.836 0.313
0.836 0.671 0.687
0.329 0.164 0.687
0.836 0.164 0.687
```

Total moment   0.0001 μB per atom
V   452 Å³/cell
Space group   P-3m1, No. 164
Formation energy (no corrections)   -1400.2 meV per atom
DOS at the Fermi energy   3.3 states/eV/cell
E   -3.39 eV per atom

(3)
Cs2CaCuCl6 | GGA-PBE | relaxed

Cell and atoms, written as POSCAR:
```
Cs2CaCuCl6
1.0
-6.831 -1.653 2.699
3.074 -4.998 4.718
-1.367 0.319 7.237
Cs Ca Cu Cl
2 1 1 6
Direct
0.750 0.250 0.500
0.250 0.750 0.500
0.500 0.500 0.000
0.000 0.000 0.000
0.226 0.226 0.549
0.774 0.774 0.451
0.244 0.244 0.000
0.756 0.756 0.000
0.756 0.244 0.000
0.244 0.756 0.000
```

Total moment   0.1000 μB per atom
V   289 Å³/cell
Space group   I4/mmm, No. 139
Formation energy (no corrections)   -1645.9 meV per atom
DOS at the Fermi energy   2.3 states/eV/cell
E   -3.53 eV per atom

(4)
Cs2CaCuCl5 | GGA-PBE | relaxed

Cell and atoms, written as POSCAR:
```
Cs2CaCuCl5
1.0
4.191 0.000 0.000
-2.096 10.108 0.000
0.000 0.000 14.062
Cs Ca Cu Cl
4 2 2 10
Direct
0.875 0.750 0.820
0.120 0.239 0.694
0.125 0.250 0.320
0.880 0.761 0.194
0.798 0.595 0.514
0.202 0.405 0.014
0.557 0.114 0.944
0.443 0.886 0.444
0.335 0.670 0.008
0.693 0.387 0.882
0.508 0.015 0.800
0.297 0.594 0.645
0.936 0.872 0.518
0.665 0.330 0.508
0.307 0.613 0.382
0.492 0.985 0.300
0.703 0.406 0.145
0.064 0.128 0.018
```

Total moment   0.0000 μB per atom
V   596 Å³/cell
Space group   Cmc2_1, No. 36
Formation energy (no corrections)   -1782.3 meV per atom
DOS at the Fermi energy   0.0 states/eV/cell
E   -3.68 eV per atom

(5)
CsCaCu2Cl8 | GGA-PBE | relaxed

Cell and atoms, written as POSCAR:
```
CsCaCu2Cl8
1.0
-1.799 -1.796 6.041
-0.150 -4.356 -4.895
9.159 -2.534 1.974
Cs Ca Cu Cl
1 1 2 8
Direct
0.000 0.000 0.000
0.000 0.000 0.500
0.667 0.333 0.267
0.333 0.667 0.733
0.333 0.667 0.960
0.334 0.331 0.325
0.669 0.003 0.325
0.667 0.333 0.040
0.331 0.997 0.675
0.666 0.669 0.675
0.003 0.334 0.675
0.997 0.666 0.325
```

Total moment   0.2563 μB per atom
V   361 Å³/cell
Space group   P-3, No. 147
Formation energy (no corrections)   -1102.9 meV per atom
DOS at the Fermi energy   13.6 states/eV/cell
E   -3.25 eV per atom

(6)
Cs3Ca2CuCl9 | GGA-PBE | relaxed

Cell and atoms, written as POSCAR:
```
Cs3Ca2CuCl9
1.0
7.501 0.000 0.000
-3.750 6.496 0.000
0.000 0.000 9.207
Cs Ca Cu Cl
3 2 1 9
Direct
0.333 0.667 0.664
0.000 0.000 0.000
0.667 0.333 0.336
0.333 0.667 0.178
0.667 0.333 0.822
0.000 0.000 0.500
0.843 0.157 0.655
0.843 0.686 0.655
0.314 0.157 0.655
0.686 0.843 0.345
0.157 0.314 0.345
0.157 0.843 0.345
0.500 0.000 0.000
0.000 0.500 0.000
0.500 0.500 0.000
```

Total moment   0.0670 μB per atom
V   449 Å³/cell
Space group   P-3m1, No. 164
Formation energy (no corrections)   -1852.0 meV per atom
DOS at the Fermi energy   6.4 states/eV/cell
E   -3.67 eV per atom

(7)
CsCaDyCl6 | GGA-PBE | relaxed

Cell and atoms, written as POSCAR:
```
CsCaDyCl6
1.0
7.148 0.000 0.000
3.574 6.190 0.000
0.000 0.000 7.654
Cs Ca Dy Cl
1 1 1 6
Direct
0.000 0.000 0.000
0.667 0.667 0.500
0.333 0.333 0.500
0.010 0.375 0.300
0.375 0.011 0.700
0.615 0.375 0.700
0.010 0.615 0.700
0.375 0.615 0.300
0.615 0.011 0.300
```

Total moment   0.0000 μB per atom
V   339 Å³/cell
Space group   P312, No. 149
Formation energy (no corrections)   -2311.6 meV per atom
DOS at the Fermi energy   0.0 states/eV/cell
E   -4.37 eV per atom

(8)
CsCa2DyCl8 | GGA-PBE | relaxed

Cell and atoms, written as POSCAR:
```
CsCa2DyCl8
1.0
6.684 0.042 -0.001
0.098 6.492 -0.001
0.011 0.018 8.957
Cs Ca Dy Cl
1 2 1 8
Direct
0.000 0.000 0.500
0.500 0.500 0.748
0.500 0.500 0.252
0.000 0.000 0.000
0.174 0.758 0.201
0.683 0.737 0.000
0.825 0.241 0.200
0.826 0.242 0.799
0.317 0.263 0.000
0.175 0.759 0.800
0.599 0.725 0.500
0.401 0.275 0.500
```

Total moment   0.0000 μB per atom
V   389 Å³/cell
Space group   P-1, No. 2
Formation energy (no corrections)   -2243.9 meV per atom
DOS at the Fermi energy   0.0 states/eV/cell
E   -4.26 eV per atom

(9)
CsCa2ErCl8 | GGA-PBE | relaxed

Cell and atoms, written as POSCAR:
```
CsCa2ErCl8
1.0
-2.786 -4.639 3.875
4.967 -4.022 -0.998
4.214 3.401 7.125
Cs Ca Er Cl
1 2 1 8
Direct
0.000 0.000 0.500
0.500 0.500 0.748
0.500 0.500 0.252
0.000 0.000 0.000
0.173 0.759 0.199
0.685 0.739 0.000
0.826 0.239 0.199
0.827 0.241 0.801
0.315 0.261 0.000
0.174 0.761 0.801
0.597 0.726 0.500
0.403 0.274 0.500
```

Total moment   0.0000 μB per atom
V   385 Å³/cell
Space group   P-1, No. 2
Formation energy (no corrections)   -2241.8 meV per atom
DOS at the Fermi energy   0.0 states/eV/cell
E   -4.26 eV per atom

(10)
CsCaErCl6 | GGA-PBE | relaxed

Cell and atoms, written as POSCAR:
```
CsCaErCl6
1.0
7.116 0.000 0.000
3.558 6.163 0.000
0.000 0.000 7.653
Cs Ca Er Cl
1 1 1 6
Direct
0.000 0.000 0.000
0.667 0.667 0.500
0.333 0.333 0.500
0.013 0.373 0.301
0.373 0.013 0.699
0.614 0.373 0.699
0.013 0.614 0.699
0.373 0.614 0.301
0.614 0.013 0.301
```

Total moment   0.0000 μB per atom
V   336 Å³/cell
Space group   P312, No. 149
Formation energy (no corrections)   -2311.9 meV per atom
DOS at the Fermi energy   0.0 states/eV/cell
E   -4.37 eV per atom

(11)
Cs2CaErCl6 | GGA-PBE | relaxed

Cell and atoms, written as POSCAR:
```
Cs2CaErCl6
1.0
7.650 0.000 0.000
0.000 7.650 0.000
0.000 0.000 10.825
Cs Ca Er Cl
4 2 2 12
Direct
0.500 0.750 0.250
0.000 0.250 0.750
0.500 0.750 0.750
0.000 0.250 0.250
0.000 0.749 0.500
0.500 0.251 0.000
0.500 0.249 0.500
0.000 0.751 0.000
0.500 0.250 0.254
0.500 0.250 0.746
0.000 0.750 0.246
0.000 0.750 0.754
0.254 0.003 0.500
0.746 0.003 0.500
0.254 0.495 0.500
0.746 0.495 0.500
0.754 0.505 0.000
0.246 0.505 0.000
0.246 0.997 0.000
0.754 0.997 0.000
```

Total moment   0.0509 μB per atom
V   634 Å³/cell
Space group   Pmmn, No. 59
Formation energy (no corrections)   -2065.4 meV per atom
DOS at the Fermi energy   9.1 states/eV/cell
E   -4.00 eV per atom

(12)
Cs2CaClF3 | GGA-PBE | relaxed

Cell and atoms, written as POSCAR:
```
Cs2CaClF3
1.0
5.435 0.000 0.000
0.000 4.571 0.000
-2.718 -2.285 7.572
Cs Ca Cl F
2 1 1 3
Direct
0.662 0.662 0.323
0.338 0.338 0.677
0.000 0.000 0.000
0.500 0.000 0.000
0.000 0.500 0.000
0.150 0.150 0.300
0.850 0.850 0.700
```

Total moment   0.0000 μB per atom
V   188 Å³/cell
Space group   Immm, No. 71
Formation energy (no corrections)   -2905.2 meV per atom
DOS at the Fermi energy   0.0 states/eV/cell
E   -4.50 eV per atom

(13)
Cs3Ca2Cl3F4 | GGA-PBE | relaxed

Cell and atoms, written as POSCAR:
```
Cs3Ca2Cl3F4
1.0
-4.010 2.086 0.189
0.161 -0.187 5.495
8.034 10.778 -2.622
Cs Ca Cl F
3 2 3 4
Direct
0.502 0.500 0.000
0.306 0.304 0.607
0.698 0.696 0.393
0.113 0.111 0.222
0.892 0.889 0.778
0.003 0.000 0.000
0.104 0.602 0.204
0.900 0.398 0.796
0.389 0.887 0.774
0.197 0.195 0.389
0.808 0.805 0.611
0.615 0.113 0.226
```

Total moment   0.0011 μB per atom
V   329 Å³/cell
Space group   Immm, No. 71
Formation energy (no corrections)   -2820.8 meV per atom
DOS at the Fermi energy   0.0 states/eV/cell
E   -4.45 eV per atom

(14)
CsCaClF2 | GGA-PBE | relaxed

Cell and atoms, written as POSCAR:
```
CsCaClF2
1.0
-2.188 4.017 -0.809
-1.568 -1.668 -4.042
-4.522 -1.947 2.557
Cs Ca F Cl
1 1 2 1
Direct
0.500 0.500 0.500
0.000 0.000 0.000
0.000 0.500 0.000
0.500 0.000 0.000
0.000 0.000 0.500
```

Total moment   0.0000 μB per atom
V   120 Å³/cell
Space group   P4/mmm, No. 123
Formation energy (no corrections)   -3022.8 meV per atom
DOS at the Fermi energy   0.0 states/eV/cell
E   -4.71 eV per atom

(15)
Cs2CaFeCl6 | GGA-PBE | relaxed

Cell and atoms, written as POSCAR:
```
Cs2CaFeCl6
1.0
7.433 0.000 0.000
0.000 7.433 0.000
3.717 3.717 5.254
Cs Ca Fe Cl
2 1 1 6
Direct
0.750 0.250 0.500
0.250 0.750 0.500
0.500 0.500 0.000
0.000 0.000 0.000
0.239 0.239 0.523
0.761 0.761 0.477
0.239 0.239 0.000
0.761 0.761 0.000
0.761 0.239 0.000
0.239 0.761 0.000
```

Total moment   0.4000 μB per atom
V   290 Å³/cell
Space group   Fm-3m, No. 225
Formation energy (no corrections)   -1735.2 meV per atom
DOS at the Fermi energy   7.9 states/eV/cell
E   -4.06 eV per atom

(16)
CsCaGa2Cl8 | GGA-PBE | relaxed

Cell and atoms, written as POSCAR:
```
CsCaGa2Cl8
1.0
-6.490 -0.127 -1.796
-2.349 -5.053 -3.783
-5.090 -6.796 6.243
Cs Ca Ga Cl
1 1 2 8
Direct
0.500 0.500 0.500
0.000 0.000 0.000
0.256 0.256 0.233
0.744 0.744 0.767
0.179 0.179 0.463
0.611 0.280 0.167
0.821 0.821 0.537
0.943 0.611 0.167
0.057 0.389 0.833
0.280 0.943 0.167
0.720 0.057 0.833
0.389 0.720 0.833
```

Total moment   0.0816 μB per atom
V   385 Å³/cell
Space group   R-3, No. 148
Formation energy (no corrections)   -1473.8 meV per atom
DOS at the Fermi energy   6.4 states/eV/cell
E   -3.45 eV per atom

(17)
Cs3CaGe2Cl9 | GGA-PBE | relaxed

Cell and atoms, written as POSCAR:
```
Cs3CaGe2Cl9
1.0
7.630 0.000 0.000
-3.815 6.608 0.000
0.000 0.000 9.344
Cs Ca Ge Cl
3 1 2 9
Direct
0.333 0.667 0.668
0.000 0.000 0.000
0.667 0.333 0.332
0.000 0.000 0.500
0.333 0.667 0.163
0.667 0.333 0.837
0.831 0.169 0.669
0.831 0.662 0.669
0.338 0.169 0.669
0.662 0.831 0.331
0.169 0.338 0.331
0.169 0.831 0.331
0.500 0.000 0.000
0.000 0.500 0.000
0.500 0.500 0.000
```

Total moment   0.0000 μB per atom
V   471 Å³/cell
Space group   P-3m1, No. 164
Formation energy (no corrections)   -1635.6 meV per atom
DOS at the Fermi energy   0.0 states/eV/cell
E   -3.66 eV per atom

(18)
CsCaH2Cl | GGA-PBE | relaxed

Cell and atoms, written as POSCAR:
```
CsCaH2Cl
1.0
-3.741 -2.898 -0.381
1.915 -2.898 3.236
-2.553 2.772 3.992
Cs H Ca Cl
1 2 1 1
Direct
0.500 0.500 0.500
0.000 0.500 0.000
0.500 0.000 0.000
0.000 0.000 0.000
0.000 0.000 0.500
```

Total moment   0.0000 μB per atom
V   124 Å³/cell
Space group   P4/mmm, No. 123
DOS at the Fermi energy   0.0 states/eV/cell
E   -3.28 eV per atom

(19)
Cs2CaH2Cl2 | GGA-PBE | relaxed

Cell and atoms, written as POSCAR:
```
Cs2CaH2Cl2
1.0
-3.822 -2.686 1.289
2.703 -2.243 3.339
-1.697 8.495 3.565
Cs Ca H Cl
2 1 2 2
Direct
0.364 0.364 0.728
0.636 0.636 0.272
0.000 0.000 0.000
0.000 0.500 0.000
0.500 0.000 0.000
0.157 0.157 0.315
0.843 0.843 0.685
```

Total moment   0.0008 μB per atom
V   205 Å³/cell
Space group   I4/mmm, No. 139
DOS at the Fermi energy   0.0 states/eV/cell
E   -3.31 eV per atom

(20)
CsCaHCl2 | GGA-PBE | relaxed

Cell and atoms, written as POSCAR:
```
CsCaHCl2
1.0
-2.614 4.569 1.841
-4.552 -3.037 1.072
1.526 -0.812 4.181
Cs H Ca Cl
1 1 1 2
Direct
0.500 0.500 0.500
0.000 0.000 0.500
0.000 0.000 0.000
0.000 0.500 0.000
0.500 0.000 0.000
```

Total moment   0.0000 μB per atom
V   141 Å³/cell
Space group   P4/mmm, No. 123
DOS at the Fermi energy   0.0 states/eV/cell
E   -3.64 eV per atom

(21)
Cs2CaHgCl6 | GGA-PBE | relaxed

Cell and atoms, written as POSCAR:
```
Cs2CaHgCl6
1.0
-7.490 1.383 -0.996
0.441 -2.767 -7.152
-4.689 -5.665 -2.222
Cs Ca Hg Cl
2 1 1 6
Direct
0.750 0.250 0.500
0.250 0.750 0.500
0.500 0.500 0.000
0.000 0.000 0.000
0.249 0.249 0.503
0.751 0.751 0.497
0.249 0.249 0.000
0.751 0.751 0.000
0.751 0.249 0.000
0.249 0.751 0.000
```

Total moment   0.0000 μB per atom
V   321 Å³/cell
Space group   Fm-3m, No. 225
Formation energy (no corrections)   -1712.3 meV per atom
DOS at the Fermi energy   0.0 states/eV/cell
E   -3.22 eV per atom

(22)
CsCa2HgCl8 | GGA-PBE | relaxed

Cell and atoms, written as POSCAR:
```
CsCa2HgCl8
1.0
-5.313 3.219 2.910
-4.238 -3.945 -2.304
0.845 -5.241 7.376
Cs Ca Hg Cl
1 2 1 8
Direct
0.000 0.000 0.500
0.500 0.500 0.779
0.500 0.500 0.221
0.000 0.000 0.000
0.149 0.738 0.200
0.638 0.746 0.000
0.850 0.261 0.200
0.851 0.262 0.800
0.362 0.254 0.000
0.150 0.739 0.800
0.539 0.733 0.500
0.461 0.267 0.500
```

Total moment   0.0788 μB per atom
V   387 Å³/cell
Space group   P-1, No. 2
Formation energy (no corrections)   -1556.2 meV per atom
DOS at the Fermi energy   10.8 states/eV/cell
E   -3.22 eV per atom